Here is an optimized crystal structure of DyEr2Be from Alexandria via LeMat-Bulk. Energies are from GGA-PBE.

a = 11.4750 Å, b = 11.4750 Å, c = 11.4750 Å
α = 17.06°, β = 17.06°, γ = 17.06°
Last column: nearest neighbours and their distance in Å.
Element x y z (fractional)
1 Dy 0.0000 0.0000 0.0000  6 Dy 3.40, 6 Er 3.42
2 Er 0.4158 0.4158 0.4158  1 Be 2.86
3 Er 0.5842 0.5842 0.5842  1 Be 2.86
4 Be 0.5000 0.5000 0.5000  2 Er 2.86

## Properties
For the energy above the most stable polymorph in this dataset, the calculation gives 620 meV/atom. The value obtained for the formation energy is 0.682 eV/atom.